# LiNd2Eu

Crystalline LiNd2Eu at its relaxed geometry (PBE-GGA, Alexandria via LeMat-Bulk).

It has space group P4/mmm (No. 123), with a = 5.741 Å, b = 5.741 Å, c = 3.985 Å, α = 90.00°, β = 90.00° and γ = 90.00°. The asymmetric unit holds Li at (0.000, 0.000, 0.000), Nd at (0.000, 0.500, 0.500) and Eu at (0.500, 0.500, 0.000).

Its formation energy from the elements is 0.170 eV/atom. For the energy above the most stable polymorph in this dataset, the calculation gives 0.059 eV per atom. The calculation puts the magnetic moment at 7.4 μB/f.u.

# LiNdEuNi

Crystalline LiNdEuNi at its relaxed geometry (PBE-GGA, Alexandria via LeMat-Bulk).

It has space group F-43m (No. 216), with a = 7.222 Å, b = 7.222 Å, c = 7.222 Å, α = 90.00°, β = 90.00° and γ = 90.00°. The asymmetric unit holds Li at (0.000, 0.000, 0.000), Nd at (0.250, 0.250, 0.750), Eu at (0.250, 0.250, 0.250) and Ni at (0.000, 0.000, 0.500).

Its formation energy from the elements is 0.000 eV/atom. The calculation puts the magnetic moment at 7.1 μB/f.u.

# LiNdEuPd

Crystalline LiNdEuPd at its relaxed geometry (PBE-GGA, Alexandria via LeMat-Bulk).

It has space group F-43m (No. 216), with a = 7.367 Å, b = 7.367 Å, c = 7.367 Å, α = 90.00°, β = 90.00° and γ = 90.00°. The asymmetric unit holds Li at (0.000, 0.000, 0.000), Nd at (0.250, 0.250, 0.250), Eu at (0.250, 0.250, 0.750) and Pd at (0.000, 0.000, 0.500).

Its formation energy from the elements is -0.302 eV/atom. The calculation puts the magnetic moment at 7.3 μB/f.u.

# LiPrNdEu

Crystalline LiPrNdEu at its relaxed geometry (PBE-GGA, Alexandria via LeMat-Bulk).

It has space group F-43m (No. 216), with a = 8.095 Å, b = 8.095 Å, c = 8.095 Å, α = 90.00°, β = 90.00° and γ = 90.00°. The asymmetric unit holds Li at (0.000, 0.000, 0.000), Pr at (0.250, 0.250, 0.750), Nd at (0.250, 0.250, 0.250) and Eu at (0.000, 0.000, 0.500).

Its formation energy from the elements is 0.193 eV/atom. The calculation puts the magnetic moment at 7.4 μB/f.u.

# LiNdEuPt

Crystalline LiNdEuPt at its relaxed geometry (PBE-GGA, Alexandria via LeMat-Bulk).

It has space group F-43m (No. 216), with a = 7.279 Å, b = 7.279 Å, c = 7.279 Å, α = 90.00°, β = 90.00° and γ = 90.00°. The asymmetric unit holds Li at (0.000, 0.000, 0.000), Nd at (0.250, 0.250, 0.750), Eu at (0.250, 0.250, 0.250) and Pt at (0.000, 0.000, 0.500).

Its formation energy from the elements is -0.519 eV/atom. The calculation puts the magnetic moment at 7.0 μB/f.u.

# LiNdEuSb

Crystalline LiNdEuSb at its relaxed geometry (PBE-GGA, Alexandria via LeMat-Bulk).

It has space group F-43m (No. 216), with a = 7.660 Å, b = 7.660 Å, c = 7.660 Å, α = 90.00°, β = 90.00° and γ = 90.00°. The asymmetric unit holds Li at (0.000, 0.000, 0.000), Nd at (0.250, 0.250, 0.750), Eu at (0.250, 0.250, 0.250) and Sb at (0.000, 0.000, 0.500).

The uncorrected formation energy is -0.51 eV/atom. The calculation puts the magnetic moment at 7.8 μB/f.u.

Quick rundown of total DFT energy (no corrections), same order as above: -5.261, -5.684, -5.839, -5.241, -6.269, -5.779 eV per atom